Below is NpVClO4 after structural relaxation, with properties calculated at the PBE+U level.

Properties
- Spin magnetization: 3.000 μB per formula unit
- N(E_F): 14.4 states/eV per cell
- VASP energy: -8.219 eV/atom

a = 6.1930 Å, b = 6.1930 Å, c = 6.7972 Å
α = 76.54°, β = 76.54°, γ = 70.11°
Fractional positions:
Np: 0.2312 0.2312 0.8655
Np: 0.7688 0.7688 0.1345
V: 0.6370 0.6370 0.7327
V: 0.3630 0.3630 0.2673
Cl: 0.0139 0.0139 0.2322
Cl: 0.9861 0.9861 0.7678
O: 0.2928 0.2928 0.5315
O: 0.7072 0.7072 0.4685
O: 0.1090 0.4925 0.1513
O: 0.5396 0.5396 0.2050
O: 0.5075 0.8910 0.8487
O: 0.4925 0.1090 0.1513
O: 0.4604 0.4604 0.7950
O: 0.8910 0.5075 0.8487